# 1
This record from Alexandria via LeMat-Bulk describes a relaxed structure of Ag2POs. The functional is PBE.

**Symmetry**: P4/mmm (123)
**Crystal system**: tetragonal
**Uncorrected energy**: -0.1789 hartree per atom
**M_tot**: 0.007 μB/cell
**ΔE_f**: 2.87 eV/f.u.

Structure (POSCAR):
```
Ag2POs
1.0
2.7074 0.0000 0.0000
0.0000 2.7074 0.0000
0.0000 0.0000 8.8957
Ag Os P
2 1 1
direct
0.0000 0.0000 0.0013
0.0000 0.0000 0.4987
0.5000 0.5000 0.2500
0.5000 0.5000 0.7500
```

# 2
This record from Alexandria via LeMat-Bulk describes a relaxed structure of Al2GeP. The functional is PBE.

**Symmetry**: R-3m (166)
**Crystal system**: trigonal
**Uncorrected energy**: -0.1649 hartree per atom
**M_tot**: 0.000 μB/cell
**Offset from the most stable computed form**: 0 meV per atom
**ΔE_f**: -0.43 eV/f.u.

Structure (POSCAR):
```
Al2GeP
1.0
3.5447 0.0000 0.0000
1.7724 3.0698 0.0000
1.7724 1.0233 6.5268
P Ge Al
1 1 2
direct
0.0000 0.0000 0.0000
0.5000 0.5000 0.5000
0.2600 0.2600 0.2201
0.7400 0.7400 0.7799
```